Record 1
# Al3Cu2Ni PBE relaxed
data_Al3Cu2Ni
_space_group_name_H-M_alt 'P 63/m m c'
_space_group_IT_number 194
_space_group_name_Hall '-P 6c 2c'
_cell_length_a 5.1413
_cell_length_b 5.1413
_cell_length_c 7.3478
_cell_angle_alpha 90.00
_cell_angle_beta 90.00
_cell_angle_gamma 120.00
loop_
_atom_site_label
_atom_site_fract_x
_atom_site_fract_y
_atom_site_fract_z
Al1 0.1682 0.3363 0.2500
Cu1 0.3333 0.6667 0.5673
Ni1 0.0000 0.0000 0.0000
# ρ (g cm⁻³): 5.267
# Distance to the lowest polymorph of the same formula (meV per atom): 279
# Formation energy from the elements (eV per atom): -0.07

Record 2
# AlCuNi2 PBE relaxed
data_AlCuNi2
_space_group_name_H-M_alt 'P -3 m 1'
_space_group_IT_number 164
_space_group_name_Hall '-P 3 2"'
_cell_length_a 2.6390
_cell_length_b 2.6390
_cell_length_c 7.9193
_cell_angle_alpha 90.00
_cell_angle_beta 90.00
_cell_angle_gamma 120.00
loop_
_atom_site_label
_atom_site_fract_x
_atom_site_fract_y
_atom_site_fract_z
Al1 0.0000 0.0000 0.0000
Cu1 0.0000 0.0000 0.5000
Ni1 0.3333 0.6667 0.2430
# ρ (g cm⁻³): 7.228
# Formation energy from the elements (eV per atom): -0.18

Record 3
# Al4Cu2Ni PBE relaxed
data_Al4Cu2Ni
_space_group_name_H-M_alt 'P -3 m 1'
_space_group_IT_number 164
_space_group_name_Hall '-P 3 2"'
_cell_length_a 2.7651
_cell_length_b 2.7651
_cell_length_c 15.2732
_cell_angle_alpha 90.00
_cell_angle_beta 90.00
_cell_angle_gamma 120.00
loop_
_atom_site_label
_atom_site_fract_x
_atom_site_fract_y
_atom_site_fract_z
Al1 0.3333 0.6667 0.3759
Al2 0.3333 0.6667 0.9215
Cu1 0.3333 0.6667 0.2125
Ni1 0.0000 0.0000 0.5000
# ρ (g cm⁻³): 4.823
# Distance to the lowest polymorph of the same formula (meV per atom): 231
# Formation energy from the elements (eV per atom): -0.05